A plane-wave DFT calculation with PBE-GGA was carried out for an optimized crystal structure of Li2InGaS4.

```
16
Lattice="6.448 0.000 0.000 0.000 6.999 0.000 0.000 0.000 7.746" Properties=species:S:1:pos:R:3 pbc="T T T"
Li 6.442 4.663 1.922
Li 3.218 2.336 5.795
Li 6.442 4.663 5.824
Li 3.218 2.336 1.951
S 2.497 1.029 3.873
S 5.670 2.317 1.841
S 2.447 4.683 2.032
S 5.670 2.317 5.905
S 5.721 5.970 0.000
S 2.300 1.241 0.000
S 2.447 4.683 5.714
S 5.524 5.758 3.873
In 6.443 1.062 3.873
In 3.219 5.938 0.000
Ga 3.221 5.850 3.873
Ga 6.445 1.149 0.000
```

Volume = 349.59 Å³ per cell
Raw formation energy = -980 meV per atom
Crystal system = orthorhombic
Energy = -4.2429 eV per atom
DOS at the Fermi energy = 0.0 states/eV per cell